No. 1
Density functional theory data (PBE) for crystalline K3Zn2Sb4 at its relaxed geometry. Values from VASP.

The structure in Quantum ESPRESSO input format:
```
&SYSTEM
  ibrav = 0, nat = 9, ntyp = 3
/
ATOMIC_SPECIES
Sb 121.76 Sb.upf
Zn 65.41 Zn.upf
K 39.10 K.upf
CELL_PARAMETERS angstrom
4.3837 0.0000 0.0000
-2.1918 7.3002 0.1783
0.0000 -2.6416 8.9741
ATOMIC_POSITIONS angstrom
Sb 0.0000 1.8020 8.4658
Sb 0.0000 0.7196 3.4632
Sb 2.1918 3.9390 5.6892
Zn 0.0000 2.3304 5.6759
K 0.0000 5.0344 2.9992
Zn 2.1918 2.3282 3.4765
K 0.0000 0.0000 0.0000
K 2.1918 -0.3757 6.1532
Sb 2.1918 2.8566 0.6866
```

Values from the calculation:
Uncorrected formation energy (eV/atom): -0.32
Symmetry: C2/m (12)



No. 2
Density functional theory data (PBE) for crystalline Li2PrIn2Hg2 at its relaxed geometry. Values from VASP.

The structure in Quantum ESPRESSO input format:
```
&SYSTEM
  ibrav = 0, nat = 7, ntyp = 4
/
ATOMIC_SPECIES
Hg 200.59 Hg.upf
Li 6.94 Li.upf
In 114.82 In.upf
Pr 140.91 Pr.upf
CELL_PARAMETERS angstrom
-0.7633 -4.4881 -1.5451
1.0177 -1.1825 -4.5474
7.6273 -3.9373 0.1895
ATOMIC_POSITIONS angstrom
Hg 5.3704 -5.1919 -2.5306
Li 4.4330 -3.0704 -0.7508
In 6.2038 -7.2853 -4.3411
In 1.6778 -2.3226 -1.5619
Hg 2.5112 -4.4159 -3.3723
Pr 0.0000 0.0000 0.0000
Li 3.4486 -6.5375 -5.1521
```

Values from the calculation:
ΔH_f (0 K) (kcal/mol of atoms): -7.51
Symmetry: R-3m (166)



No. 3
Density functional theory data (PBE) for crystalline Y10Er4Zr at its relaxed geometry. Values from VASP.

The structure in Quantum ESPRESSO input format:
```
&SYSTEM
  ibrav = 0, nat = 15, ntyp = 3
/
ATOMIC_SPECIES
Y 88.91 Y.upf
Er 167.26 Er.upf
Zr 91.22 Zr.upf
CELL_PARAMETERS angstrom
-7.3350 -0.3024 -2.2250
-2.4946 -7.4606 -3.9857
-5.6743 -3.2387 5.9230
ATOMIC_POSITIONS angstrom
Y -10.0869 -8.6122 0.4336
Er -8.2572 -1.7239 1.0086
Y -10.2525 -4.3365 2.2613
Y -8.4021 -6.7952 -3.5047
Er -3.0344 -4.1012 -2.6628
Er -7.2466 -9.2779 -1.2962
Y -13.2377 -8.7421 -0.5222
Y -5.2513 -6.6653 -2.5489
Y -9.5857 -5.5765 -0.7000
Y -5.4169 -2.3896 -0.7212
Zr 0.0000 0.0000 0.0000
Y -7.1017 -4.2066 3.2170
Y -2.2661 -2.2597 0.2346
Y -5.9182 -5.4253 0.4124
Er -12.4695 -6.9006 2.3752
```

Values from the calculation:
ΔH_f (0 K) (kcal/mol of atoms): 5.64
Symmetry: I4/mmm (139)



No. 4
Density functional theory data (PBE) for crystalline TlSiPt2 at its relaxed geometry. Values from VASP.

The structure in Quantum ESPRESSO input format:
```
&SYSTEM
  ibrav = 0, nat = 4, ntyp = 3
/
ATOMIC_SPECIES
Si 28.09 Si.upf
Tl 204.38 Tl.upf
Pt 195.08 Pt.upf
CELL_PARAMETERS angstrom
3.8860 0.0139 -0.1883
1.9585 3.3564 -0.1883
1.0670 0.6153 6.2594
ATOMIC_POSITIONS angstrom
Si 5.1836 2.9893 4.4121
Tl 1.7279 0.9964 1.4707
Pt 1.3207 0.7616 5.5936
Pt 3.2021 1.8466 3.6071
```

Values from the calculation:
Uncorrected formation energy (eV/atom): -0.32
Symmetry: C2/m (12)



No. 5
Density functional theory data (PBE) for crystalline Ba2Tc2O7 at its relaxed geometry. Values from VASP.

The structure in Quantum ESPRESSO input format:
```
&SYSTEM
  ibrav = 0, nat = 11, ntyp = 3
/
ATOMIC_SPECIES
O 16.00 O.upf
Tc 98.00 Tc.upf
Ba 137.33 Ba.upf
CELL_PARAMETERS angstrom
5.4710 -0.1424 -0.1628
-0.5411 6.6088 -0.6387
-0.5411 -1.5121 6.4651
ATOMIC_POSITIONS angstrom
O 2.7355 -0.0712 -0.0814
Tc 2.0286 1.0488 1.1990
Tc 2.3601 3.9054 4.4646
O 3.4917 1.7717 2.0254
O 3.3637 4.9728 3.3654
Ba -0.5411 4.1150 1.5428
O 1.0250 -0.0185 2.2982
O 3.3637 2.6740 5.3762
O 1.0250 2.2803 0.2874
Ba -0.5411 0.9817 4.2836
O 0.8971 3.1826 3.6383
```

Values from the calculation:
Uncorrected formation energy (eV/atom): -1.92
Symmetry: C2/m (12)



No. 6
Density functional theory data (PBE) for crystalline NdSm2TmSb4 at its relaxed geometry. Values from VASP.

The structure in Quantum ESPRESSO input format:
```
&SYSTEM
  ibrav = 0, nat = 8, ntyp = 4
/
ATOMIC_SPECIES
Sm 150.36 Sm.upf
Tm 168.93 Tm.upf
Sb 121.76 Sb.upf
Nd 144.24 Nd.upf
CELL_PARAMETERS angstrom
-2.0035 -2.8387 -2.7892
0.7163 -5.6336 5.2189
-6.2173 -0.0901 4.5575
ATOMIC_POSITIONS angstrom
Sm -4.1104 -1.4644 0.8841
Tm -2.7505 -2.8618 4.8882
Sb -4.0937 -4.2877 7.3041
Sb -2.0669 -5.6399 3.6658
Nd -0.6436 -4.2361 1.2149
Sb -5.4376 -2.9225 3.3214
Sb -3.4108 -4.2747 -0.3169
Sm -6.2173 -0.0901 4.5575
```

Values from the calculation:
Uncorrected formation energy (eV/atom): -1.14
Symmetry: P2/m (10)